1.
{"formula": "Cd2InCu", "functional": "PBE-GGA", "state": "optimized geometry", "e_tot_ev_per_cell": -7.93, "m_tot_mub_per_cell": 0.00, "mass_density_g_cm3": 8.06, "ef_ev_per_atom": 0.184, "lattice": [[-0.971, -3.726, -3.027], [2.103, -4.363, 0.734], [-2.691, -3.784, 1.559]], "species": ["Cd", "Cd", "Cu", "In"], "frac_coords": [[0.000, 0.000, 0.000], [0.250, 0.250, 0.250], [0.500, 0.500, 0.500], [0.750, 0.750, 0.750]]}

=====

2.
{"formula": "Cd2InCu", "functional": "PBE-GGA", "state": "optimized geometry", "e_tot_ev_per_cell": -8.13, "m_tot_mub_per_cell": 0.00, "mass_density_g_cm3": 8.20, "ef_ev_per_atom": 0.133, "lattice": [[-1.567, 4.773, 1.813], [-3.503, -0.591, 3.987], [4.828, -2.103, -0.887]], "species": ["Cd", "Cd", "Cu", "In"], "frac_coords": [[0.000, 0.000, 0.000], [0.500, 0.500, 0.000], [0.250, 0.750, 0.500], [0.750, 0.250, 0.500]]}

=====

3.
{"formula": "CdInCu2", "functional": "PBE-GGA", "state": "optimized geometry", "e_tot_ev_per_cell": -21.03, "m_tot_mub_per_cell": 0.00, "mass_density_g_cm3": 7.66, "ef_ev_per_atom": 0.332, "lattice": [[-1.202, -7.038, -1.750], [3.672, -2.120, 6.006], [-1.182, -4.538, 3.620]], "species": ["Cd", "Cd", "Cu", "Cu", "Cu", "Cu", "In", "In"], "frac_coords": [[0.500, 0.500, 0.000], [0.250, 0.750, 0.500], [0.625, 0.125, 0.250], [0.125, 0.625, 0.250], [0.375, 0.375, 0.750], [0.875, 0.875, 0.750], [0.000, 0.000, 0.000], [0.750, 0.250, 0.500]]}

=====

4.
{"formula": "Cd2InCu", "functional": "PBE-GGA", "state": "optimized geometry", "e_tot_ev_per_cell": -8.37, "m_tot_mub_per_cell": 0.00, "mass_density_g_cm3": 7.98, "ef_ev_per_atom": 0.075, "lattice": [[-2.562, -0.933, 1.713], [1.415, -2.697, 0.647], [3.353, 3.407, 6.873]], "species": ["Cd", "Cd", "Cu", "In"], "frac_coords": [[0.000, 0.000, 0.050], [0.000, 0.000, 0.450], [0.500, 0.500, 0.250], [0.500, 0.500, 0.750]]}

=====

5.
{"formula": "Cd2InCu9", "functional": "PBE-GGA", "state": "optimized geometry", "e_tot_ev_per_cell": -40.85, "m_tot_mub_per_cell": 0.00, "mass_density_g_cm3": 8.55, "ef_ev_per_atom": 0.048, "lattice": [[-1.352, -2.195, -4.298], [-4.162, -2.785, -0.190], [-6.162, 4.938, -3.506]], "species": ["Cd", "Cd", "In", "Cu", "Cu", "Cu", "Cu", "Cu", "Cu", "Cu", "Cu", "Cu"], "frac_coords": [[0.856, 0.856, 0.432], [0.144, 0.144, 0.568], [0.000, 0.000, 0.000], [0.667, 0.667, 0.999], [0.333, 0.333, 0.001], [0.500, 0.500, 0.500], [0.415, 0.415, 0.252], [0.918, 0.415, 0.252], [0.415, 0.918, 0.252], [0.585, 0.585, 0.748], [0.585, 0.082, 0.748], [0.082, 0.585, 0.748]]}

=====

6.
{"formula": "CdInCu2Ir", "functional": "PBE-GGA", "state": "optimized geometry", "e_tot_ev_per_cell": -17.18, "m_tot_mub_per_cell": 0.00, "mass_density_g_cm3": 7.75, "ef_ev_per_atom": 0.706, "lattice": [[4.764, 0.000, 0.000], [0.000, 5.159, 0.000], [0.000, 0.000, 4.764]], "species": ["Cd", "Ir", "Cu", "Cu", "In"], "frac_coords": [[0.000, 0.500, 0.000], [0.000, 0.000, 0.000], [0.000, 0.000, 0.500], [0.500, 0.000, 0.000], [0.500, 0.500, 0.500]]}

=====

7.
{"formula": "KCdIn2Cu", "functional": "PBE-GGA", "state": "optimized geometry", "e_tot_ev_per_cell": -11.39, "m_tot_mub_per_cell": 0.00, "mass_density_g_cm3": 5.42, "ef_ev_per_atom": 0.039, "lattice": [[-0.804, 4.853, -1.482], [-5.074, -0.782, 0.191], [-0.045, 1.501, 4.940]], "species": ["K", "Cd", "Cu", "In", "In"], "frac_coords": [[0.500, 0.500, 0.500], [0.000, 0.000, 0.500], [0.000, 0.000, 0.000], [0.000, 0.500, 0.000], [0.500, 0.000, 0.000]]}

=====

8.
{"formula": "NaCdIn2Cu", "functional": "PBE-GGA", "state": "optimized geometry", "de_polymorph_mev_per_atom": 57.9, "e_tot_ev_per_cell": -11.23, "m_tot_mub_per_cell": 0.00, "mass_density_g_cm3": 5.25, "ef_ev_per_atom": 0.116, "lattice": [[-2.375, 1.866, 4.002], [-4.255, -2.185, -1.506], [1.271, -4.415, 2.813]], "species": ["Na", "Cd", "Cu", "In", "In"], "frac_coords": [[0.000, 0.000, 0.500], [0.500, 0.500, 0.500], [0.000, 0.000, 0.000], [0.000, 0.500, 0.000], [0.500, 0.000, 0.000]]}